(1)
A geometry-optimized ScRe4Si structure. Source: Alexandria, functional PBE-GGA.

Computed properties:
**Formation energy without anion corrections**: 0.22 eV/atom
**Space-group type**: F-43m

The structure in POSCAR format:
```
ScRe4Si
1.0
0.000 3.683 3.683
3.683 0.000 3.683
3.683 3.683 0.000
Sc Re Si
1 4 1
Direct
0.000 0.000 0.000 Sc
0.376 0.376 0.376 Re
0.376 0.376 0.873 Re
0.376 0.873 0.376 Re
0.873 0.376 0.376 Re
0.750 0.750 0.750 Si
```



(2)
A geometry-optimized La2Pm2NdY6 structure. Source: Alexandria, functional PBE-GGA.

Computed properties:
**DFT formation energy**: 0.13 eV per atom
**Space-group type**: Cmmm

The structure in POSCAR format:
```
La2Pm2NdY6
1.0
2.888 -6.093 0.000
2.888 6.093 0.000
0.000 0.000 10.642
La Pm Nd Y
2 2 1 6
Direct
0.212 0.788 0.000 La
0.788 0.212 0.000 La
0.130 0.870 0.500 Pm
0.870 0.130 0.500 Pm
0.500 0.500 0.000 Nd
0.000 0.000 0.207 Y
0.000 0.000 0.793 Y
0.350 0.650 0.302 Y
0.350 0.650 0.698 Y
0.650 0.350 0.302 Y
0.650 0.350 0.698 Y
```



(3)
A geometry-optimized Th6InAs2Se3 structure. Source: Alexandria, functional PBE-GGA.

Computed properties:
**Formation energy without anion corrections**: -1.23 eV/atom
**Space-group type**: C2/m

The structure in POSCAR format:
```
Th6InAs2Se3
1.0
9.290 -2.163 0.000
9.290 2.163 0.000
-1.776 0.000 8.291
Th In As Se
6 1 2 3
Direct
0.004 0.004 0.264 Th
0.328 0.328 0.911 Th
0.333 0.333 0.421 Th
0.667 0.667 0.579 Th
0.672 0.672 0.089 Th
0.996 0.996 0.736 Th
0.500 0.500 0.000 In
0.169 0.169 0.334 As
0.831 0.831 0.666 As
0.163 0.163 0.830 Se
0.500 0.500 0.500 Se
0.837 0.837 0.170 Se
```



(4)
A geometry-optimized Th3Re7Mo2 structure. Source: Alexandria, functional PBE-GGA.

Computed properties:
**DFT formation energy**: 0.02 eV per atom
**Space-group type**: R-3m

The structure in POSCAR format:
```
Th3Re7Mo2
1.0
2.695 1.556 9.224
-2.695 1.556 9.224
0.000 -3.112 9.224
Th Re Mo
3 7 2
Direct
0.000 0.000 0.000 Th
0.146 0.146 0.146 Th
0.854 0.854 0.854 Th
0.078 0.585 0.585 Re
0.415 0.415 0.922 Re
0.415 0.922 0.415 Re
0.500 0.500 0.500 Re
0.585 0.078 0.585 Re
0.585 0.585 0.078 Re
0.922 0.415 0.415 Re
0.336 0.336 0.336 Mo
0.664 0.664 0.664 Mo
```



Short version: DOS at the Fermi energy = 1.025, 1.570, 0.765, 1.311 states/eV/atom, in the order given.
Short version: size of the total moment = 0.000, 0.000, 0.000, 0.000 μB/atom, in the order given.